(1)
ZnCu2Rh2: optimized geometry, GGA-PBE.

abc: 6.7719 6.7719 3.1381
angles: 90.00 90.00 90.00
Element x y z (fractional)
Cu  0.8418  0.3418  0.5000
Cu  0.3418  0.1582  0.5000
Cu  0.1582  0.6582  0.5000
Cu  0.6582  0.8418  0.5000
Rh  0.3601  0.8601  0.0000
Rh  0.6399  0.1399  0.0000
Rh  0.1399  0.3601  0.0000
Rh  0.8601  0.6399  0.0000
Zn  0.0000  0.0000  0.0000
Zn  0.5000  0.5000  0.0000

Computed properties:
**Energy relative to the elements**: 0.14 eV per atom

(2)
TbPd14Au: optimized geometry, GGA-PBE.

abc: 5.6535 5.6535 8.0711
angles: 90.00 90.00 90.00
Element x y z (fractional)
Au  0.3750  0.3750  0.5000
Pd  0.6237  0.6237  0.7559
Pd  0.1263  0.1263  0.7559
Pd  0.6238  0.1262  0.7560
Pd  0.8750  0.8750  0.0000
Pd  0.1263  0.1263  0.2441
Pd  0.8750  0.3750  0.0000
Pd  0.3750  0.8750  0.0000
Pd  0.1262  0.6238  0.7560
Pd  0.6238  0.1262  0.2440
Pd  0.3750  0.8750  0.5000
Pd  0.6237  0.6237  0.2441
Pd  0.8750  0.3750  0.5000
Pd  0.3750  0.3750  0.0000
Pd  0.1262  0.6238  0.2440
Tb  0.8750  0.8750  0.5000

Computed properties:
**Energy relative to the elements**: -0.21 eV per atom

(3)
Th6In2Ru: optimized geometry, GGA-PBE.

abc: 6.2760 8.3268 10.4088
angles: 90.00 90.12 90.00
Element x y z (fractional)
Th  0.1140  0.3317  0.4565
Th  0.1034  0.3140  0.0449
Th  0.6034  0.1860  0.5449
Th  0.1244  0.0242  0.7530
Th  0.3860  0.8317  0.0435
Th  0.3966  0.8140  0.4551
Th  0.8966  0.6860  0.9551
Th  0.3756  0.5242  0.7470
Th  0.6244  0.4758  0.2530
Th  0.6140  0.1683  0.9565
Th  0.8860  0.6683  0.5435
Th  0.8756  0.9758  0.2470
In  0.8908  0.3806  0.7544
In  0.1092  0.6194  0.2456
In  0.3908  0.1194  0.2544
In  0.6092  0.8806  0.7456
Ru  0.5000  0.5000  0.0000
Ru  0.0000  0.0000  0.5000

Computed properties:
**Energy relative to the elements**: -0.15 eV per atom

(4)
V2MoN: optimized geometry, GGA-PBE.

abc: 2.8648 2.8648 6.9510
angles: 78.11 78.11 60.00
Element x y z (fractional)
Mo  0.5000  0.5000  0.5000
V  0.2775  0.2775  0.1676
V  0.7225  0.7225  0.8324
N  0.0000  0.0000  0.0000

(5)
TbNpIrPt: optimized geometry, GGA-PBE.

abc: 4.9015 4.9015 4.9015
angles: 60.00 60.00 60.00
Element x y z (fractional)
Ir  0.2500  0.2500  0.2500
Pt  0.7500  0.7500  0.7500
Tb  0.5000  0.5000  0.5000
Np  0.0000  0.0000  0.0000

Computed properties:
**Energy relative to the elements**: -0.62 eV per atom

(6)
MgIr2Au: optimized geometry, GGA-PBE.

abc: 4.8057 4.8057 2.8747
angles: 90.00 90.00 108.95
Element x y z (fractional)
Mg  0.5000  0.0000  0.5000
Ir  0.0000  0.0000  0.0000
Ir  0.5000  0.5000  0.0000
Au  0.0000  0.5000  0.5000

Computed properties:
**Energy relative to the elements**: 0.03 eV per atom

(7)
Sr2GaReBr: optimized geometry, GGA-PBE.

abc: 5.8437 4.7991 5.8437
angles: 90.00 90.00 90.00
Element x y z (fractional)
Br  0.5000  0.5000  0.5000
Sr  0.0000  0.0000  0.5000
Sr  0.5000  0.0000  0.0000
Ga  0.0000  0.5000  0.0000
Re  0.0000  0.0000  0.0000

(8)
DyHo2Cu6: optimized geometry, GGA-PBE.

abc: 3.5377 7.3166 7.3166
angles: 120.00 90.00 90.00
Element x y z (fractional)
Cu  0.5000  0.3337  0.0000
Cu  0.5000  0.0000  0.6663
Cu  0.5000  0.6663  0.6663
Cu  0.5000  0.0000  0.3337
Cu  0.5000  0.6663  0.0000
Cu  0.5000  0.3337  0.3337
Ho  0.0000  0.3333  0.6667
Ho  0.0000  0.6667  0.3333
Dy  0.0000  0.0000  0.0000

Computed properties:
**Energy relative to the elements**: -0.26 eV per atom

| no. | DFT total energy (eV for the cell shown) |
| --- | --- |
| 1 | -47.0 |
| 2 | -84.0 |
| 3 | -121.2 |
| 4 | -39.7 |
| 5 | -34.9 |
| 6 | -22.5 |
| 7 | -20.6 |
| 8 | -40.7 |